{
  "formula": "Ho2TmCr2C4",
  "functional": "GGA-PBE",
  "state": "optimized geometry",
  "lattice_angstrom": [[3.383, 0.000, 0.000], [-1.692, 6.466, 0.109], [0.000, -2.160, 5.529]],
  "species": ["Ho", "Ho", "C", "C", "C", "C", "Cr", "Cr", "Tm"],
  "frac_coords": [[0.866, 0.731, 0.458], [0.134, 0.269, 0.542], [0.784, 0.568, 0.807], [0.216, 0.432, 0.193], [0.460, 0.919, 0.249], [0.540, 0.081, 0.751], [0.679, 0.358, 0.987], [0.321, 0.642, 0.013], [0.000, 0.000, 0.000]],
  "spacegroup": "C2/m (12)",
  "dos_ef_per_ev_cell": 6.6,
  "delta_e_f_ev_per_fu": -1.395,
  "magnetic_moment_mub_per_fu": 0.00
}